Run w
This record from Alexandria via LeMat-Bulk describes a relaxed structure of Tl3CoAs. The functional is GGA-PBE.

Cell lengths 5.515, 5.515, 5.515 Å; angles 90.00, 90.00, 90.00 degrees
Space group Pm-3m (No. 221)
Unique sites:
Tl  0.000  0.000  0.500 [3 per cell]
Co  0.500  0.500  0.500 [1 per cell]
As  0.000  0.000  0.000 [1 per cell]

Run x
This record from Alexandria via LeMat-Bulk describes a relaxed structure of Tl3CoAs. The functional is GGA-PBE.

Cell lengths 5.092, 5.092, 5.092 Å; angles 90.00, 90.00, 90.00 degrees
Space group Pm-3m (No. 221)
Unique sites:
Tl  0.000  0.000  0.500 [3 per cell]
Co  0.000  0.000  0.000 [1 per cell]
As  0.500  0.500  0.500 [1 per cell]

Preferred: run x; penalty for the next structure: 523 meV/atom.

Run w
This record from Alexandria via LeMat-Bulk describes a relaxed structure of TlCo3As. The functional is GGA-PBE.

Cell lengths 4.374, 4.374, 4.374 Å; angles 90.00, 90.00, 90.00 degrees
Space group Pm-3m (No. 221)
Unique sites:
Tl  0.000  0.000  0.000 [1 per cell]
Co  0.000  0.500  0.500 [3 per cell]
As  0.500  0.500  0.500 [1 per cell]

Run x
This record from Alexandria via LeMat-Bulk describes a relaxed structure of TlCo3As. The functional is GGA-PBE.

Cell lengths 4.756, 4.756, 4.756 Å; angles 90.00, 90.00, 90.00 degrees
Space group Pm-3m (No. 221)
Unique sites:
Tl  0.000  0.000  0.000 [1 per cell]
Co  0.000  0.000  0.500 [3 per cell]
As  0.500  0.500  0.500 [1 per cell]

Preferred: run w; penalty for the next structure: 1156 meV/atom.

Run w
This record from Alexandria via LeMat-Bulk describes a relaxed structure of ZnCo2As. The functional is GGA-PBE.

Cell lengths 2.876, 3.531, 5.062 Å; angles 90.00, 90.00, 90.00 degrees
Space group Pmm2 (No. 25)
Unique sites:
Zn  0.000  0.000  0.000 [1 per cell]
Co  0.000  0.000  0.517 [1 per cell]
Co  0.500  0.500  0.796 [1 per cell]
As  0.500  0.500  0.326 [1 per cell]

Run x
This record from Alexandria via LeMat-Bulk describes a relaxed structure of ZnCo2As. The functional is GGA-PBE.

Cell lengths 3.878, 3.878, 3.224 Å; angles 90.00, 90.00, 90.00 degrees
Space group P4/mmm (No. 123)
Unique sites:
Zn  0.000  0.000  0.000 [1 per cell]
Co  0.000  0.500  0.500 [2 per cell]
As  0.500  0.500  0.000 [1 per cell]

Run y
This record from Alexandria via LeMat-Bulk describes a relaxed structure of ZnCo2As. The functional is GGA-PBE.

Cell lengths 2.819, 3.723, 10.041 Å; angles 90.00, 90.00, 90.00 degrees
Space group Imm2 (No. 44)
Unique sites:
Zn  0.000  0.000  0.000 [2 per cell]
Co  0.000  0.000  0.432 [2 per cell]
Co  0.000  0.500  0.180 [2 per cell]
As  0.000  0.500  0.750 [2 per cell]

Run z
This record from Alexandria via LeMat-Bulk describes a relaxed structure of ZnCo2As. The functional is GGA-PBE.

Cell lengths 3.529, 3.529, 8.005 Å; angles 90.00, 90.00, 90.00 degrees
Space group I-4m2 (No. 119)
Unique sites:
Zn  0.000  0.000  0.000 [2 per cell]
Co  0.000  0.000  0.500 [2 per cell]
Co  0.000  0.500  0.250 [2 per cell]
As  0.000  0.500  0.750 [2 per cell]

Preferred: run x; penalty for the next structure: 58 meV/atom.

Run w
This record from Alexandria via LeMat-Bulk describes a relaxed structure of ZnCo2As. The functional is GGA-PBE.

Cell lengths 7.623, 2.816, 4.852 Å; angles 90.00, 100.87, 90.00 degrees
Space group C2/m (No. 12)
Unique sites:
Zn  0.000  0.000  0.000 [2 per cell]
Co  0.246  0.000  0.728 [4 per cell]
As  0.000  0.500  0.500 [2 per cell]

Run x
This record from Alexandria via LeMat-Bulk describes a relaxed structure of ZnCo2As. The functional is GGA-PBE.

Cell lengths 3.7712, 3.7712, 13.4551 Å; angles 90.00, 90.00, 120.00 degrees
Space group R3m (No. 160, hexagonal axes)
Unique sites:
Zn  0.0000  0.0000  0.0000 [3 per cell]
Co  0.0000  0.0000  0.2219 [3 per cell]
Co  0.0000  0.0000  0.4262 [3 per cell]
As  0.0000  0.0000  0.8136 [3 per cell]

Preferred: run w; penalty for the next structure: 11 meV/atom.

Run w
This record from Alexandria via LeMat-Bulk describes a relaxed structure of ZnCo2As. The functional is GGA-PBE.

Cell lengths 6.464, 6.464, 5.294 Å; angles 90.00, 90.00, 90.00 degrees
Space group I-42d (No. 122)
Unique sites:
Zn  0.000  0.000  0.000 [4 per cell]
Co  0.215  0.750  0.625 [8 per cell]
As  0.000  0.000  0.500 [4 per cell]

Run x
This record from Alexandria via LeMat-Bulk describes a relaxed structure of ZnCo2As. The functional is GGA-PBE.

Cell lengths 8.766, 2.870, 4.106 Å; angles 90.00, 105.33, 90.00 degrees
Space group Cm (No. 8)
Unique sites:
Zn  0.000  0.000  0.000 [2 per cell]
Co  0.258  0.000  0.890 [2 per cell]
Co  0.491  0.000  0.496 [2 per cell]
As  0.259  0.500  0.393 [2 per cell]

Preferred: run x; penalty for the next structure: 261 meV/atom.

Run w
This record from Alexandria via LeMat-Bulk describes a relaxed structure of ZnCo2As. The functional is GGA-PBE.

Cell lengths 2.7873, 2.7873, 24.8651 Å; angles 90.00, 90.00, 120.00 degrees
Space group R3m (No. 160, hexagonal axes)
Unique sites:
Zn  0.0000  0.0000  0.0000 [3 per cell]
Co  0.0000  0.0000  0.4886 [3 per cell]
Co  0.0000  0.0000  0.7465 [3 per cell]
As  0.0000  0.0000  0.2268 [3 per cell]

Run x
This record from Alexandria via LeMat-Bulk describes a relaxed structure of ZnCo2As. The functional is GGA-PBE.

Cell lengths 2.781, 4.231, 4.661 Å; angles 90.00, 107.27, 90.00 degrees
Space group Pm (No. 6)
Unique sites:
Zn  0.000  0.000  0.000 [1 per cell]
Co  0.368  0.500  0.739 [1 per cell]
Co  0.740  0.000  0.482 [1 per cell]
As  0.647  0.500  0.295 [1 per cell]

Run y
This record from Alexandria via LeMat-Bulk describes a relaxed structure of ZnCo2As. The functional is GGA-PBE.

Cell lengths 5.800, 5.800, 5.800 Å; angles 90.00, 90.00, 90.00 degrees
Space group Fm-3m (No. 225)
Unique sites:
Zn  0.000  0.000  0.000 [4 per cell]
Co  0.250  0.250  0.250 [8 per cell]
As  0.000  0.000  0.500 [4 per cell]

Preferred: run y; penalty for the next structure: 122 meV/atom.

Run w
This record from Alexandria via LeMat-Bulk describes a relaxed structure of ZnCo2As. The functional is GGA-PBE.

Cell lengths 2.910, 2.910, 5.856 Å; angles 90.00, 90.00, 90.00 degrees
Space group P4/mmm (No. 123)
Unique sites:
Zn  0.000  0.000  0.000 [1 per cell]
Co  0.500  0.500  0.267 [2 per cell]
As  0.000  0.000  0.500 [1 per cell]

Run x
This record from Alexandria via LeMat-Bulk describes a relaxed structure of ZnCo2As. The functional is GGA-PBE.

Cell lengths 5.937, 5.937, 5.937 Å; angles 90.00, 90.00, 90.00 degrees
Space group F-43m (No. 216)
Unique sites:
Zn  0.000  0.000  0.000 [4 per cell]
Co  0.000  0.000  0.500 [4 per cell]
Co  0.250  0.250  0.250 [4 per cell]
As  0.250  0.250  0.750 [4 per cell]

Preferred: run w; penalty for the next structure: 272 meV/atom.

Run w
This record from Alexandria via LeMat-Bulk describes a relaxed structure of CrAs5. The functional is GGA-PBE.

Cell lengths 7.817, 7.817, 7.817 Å; angles 90.00, 90.00, 90.00 degrees
Space group F-43m (No. 216)
Unique sites:
Cr  0.000  0.000  0.000 [4 per cell]
As  0.126  0.126  0.626 [16 per cell]
As  0.250  0.250  0.250 [4 per cell]

Run x
This record from Alexandria via LeMat-Bulk describes a relaxed structure of CrAs5. The functional is GGA-PBE.

Cell lengths 5.1750, 5.1750, 4.8189 Å; angles 90.00, 90.00, 120.00 degrees
Space group P-62m (No. 189)
Unique sites:
Cr  0.0000  0.0000  0.0000 [1 per cell]
As  0.0000  0.7137  0.5000 [3 per cell]
As  0.3333  0.6667  0.0000 [2 per cell]

Preferred: run x; penalty for the next structure: 271 meV/atom.

Run w
This record from Alexandria via LeMat-Bulk describes a relaxed structure of CrAs3. The functional is GGA-PBE.

Cell lengths 3.820, 3.820, 10.029 Å; angles 90.00, 90.00, 90.00 degrees
Space group I4/mmm (No. 139)
Unique sites:
Cr  0.000  0.000  0.000 [2 per cell]
As  0.000  0.000  0.500 [2 per cell]
As  0.000  0.500  0.250 [4 per cell]

Run x
This record from Alexandria via LeMat-Bulk describes a relaxed structure of CrAs3. The functional is GGA-PBE.

Cell lengths 4.174, 4.174, 4.174 Å; angles 90.00, 90.00, 90.00 degrees
Space group Pm-3m (No. 221)
Unique sites:
Cr  0.000  0.000  0.000 [1 per cell]
As  0.000  0.500  0.500 [3 per cell]

Run y
This record from Alexandria via LeMat-Bulk describes a relaxed structure of CrAs3. The functional is GGA-PBE.

Cell lengths 3.699, 5.310, 3.904 Å; angles 90.00, 90.00, 90.00 degrees
Space group Pmm2 (No. 25)
Unique sites:
Cr  0.000  0.000  0.000 [1 per cell]
As  0.000  0.500  0.986 [1 per cell]
As  0.500  0.000  0.516 [1 per cell]
As  0.500  0.500  0.413 [1 per cell]

Preferred: run y; penalty for the next structure: 269 meV/atom.

Run w
This record from Alexandria via LeMat-Bulk describes a relaxed structure of CrAs3. The functional is GGA-PBE.

Cell lengths 3.3687, 3.3687, 7.0012 Å; angles 90.00, 90.00, 120.00 degrees
Space group P-6m2 (No. 187)
Unique sites:
Cr  0.0000  0.0000  0.0000 [1 per cell]
As  0.0000  0.0000  0.5000 [1 per cell]
As  0.3333  0.6667  0.2174 [2 per cell]

Run x
This record from Alexandria via LeMat-Bulk describes a relaxed structure of CrAs3. The functional is GGA-PBE.

Cell lengths 7.7387, 7.7387, 4.1355 Å; angles 90.00, 90.00, 120.00 degrees
Space group P6_3/mmc (No. 194)
Unique sites:
Cr  0.3333  0.6667  0.2500 [2 per cell]
As  0.2236  0.4472  0.7500 [6 per cell]

Run y
This record from Alexandria via LeMat-Bulk describes a relaxed structure of CrAs3. The functional is GGA-PBE.

Cell lengths 3.148, 7.924, 5.475 Å; angles 90.00, 90.00, 90.00 degrees
Space group Pmmn (No. 59, origin choice 2)
Unique sites:
Cr  0.250  0.250  0.062 [2 per cell]
As  0.250  0.564  0.190 [4 per cell]
As  0.250  0.750  0.598 [2 per cell]

Preferred: run y; penalty for the next structure: 213 meV/atom.

Run w
This record from Alexandria via LeMat-Bulk describes a relaxed structure of CrAs3. The functional is GGA-PBE.

Cell lengths 2.746, 2.746, 11.161 Å; angles 90.00, 90.00, 90.00 degrees
Space group P4/mmm (No. 123)
Unique sites:
Cr  0.000  0.000  0.000 [1 per cell]
As  0.000  0.000  0.500 [1 per cell]
As  0.500  0.500  0.160 [2 per cell]

Run x
This record from Alexandria via LeMat-Bulk describes a relaxed structure of CrAs3. The functional is GGA-PBE.

Cell lengths 7.715, 12.904, 3.666 Å; angles 90.00, 90.00, 90.00 degrees
Space group Cmcm (No. 63)
Unique sites:
Cr  0.000  0.057  0.250 [4 per cell]
As  0.000  0.226  0.750 [4 per cell]
As  0.225  0.094  0.750 [8 per cell]

Preferred: run x; penalty for the next structure: 163 meV/atom.

Run w
This record from Alexandria via LeMat-Bulk describes a relaxed structure of CrAs3. The functional is GGA-PBE.

Cell lengths 3.837, 3.837, 20.271 Å; angles 90.00, 90.00, 90.00 degrees
Space group I4/mmm (No. 139)
Unique sites:
Cr  0.000  0.000  0.156 [4 per cell]
As  0.000  0.000  0.388 [4 per cell]
As  0.000  0.500  0.000 [4 per cell]
As  0.000  0.500  0.250 [4 per cell]

Run x
This record from Alexandria via LeMat-Bulk describes a relaxed structure of CrAs3. The functional is GGA-PBE.

Cell lengths 4.525, 10.282, 3.157 Å; angles 90.00, 90.00, 90.00 degrees
Space group Cmmm (No. 65)
Unique sites:
Cr  0.000  0.000  0.000 [2 per cell]
As  0.000  0.185  0.500 [4 per cell]
As  0.000  0.500  0.000 [2 per cell]

Preferred: run x; penalty for the next structure: 282 meV/atom.